#P
BaTbSm2: optimized geometry, PBE-GGA.

The structure belongs to space group R-3m (No. 166, hexagonal axes); the cell edges are 3.6570, 3.6570 and 39.0958 Å and the angles 90.00°, 90.00° and 120.00°. The asymmetric unit holds Ba at (0.0000, 0.0000, 0.0000), Tb at (0.0000, 0.0000, 0.5000) and Sm at (0.0000, 0.0000, 0.0937).

Its density of states at the Fermi level is 16.03 states/eV per cell. The value obtained for the magnetization is 0.00 μB per formula unit.



#Q
BaTbSm2: optimized geometry, PBE-GGA.

The structure belongs to space group P4/mmm (No. 123); the cell edges are 3.744, 3.744 and 10.862 Å and the angles 90.00°, 90.00° and 90.00°. The asymmetric unit holds Ba at (0.000, 0.000, 0.000), Tb at (0.000, 0.000, 0.500) and Sm at (0.500, 0.500, 0.283).

Its density of states at the Fermi level is 5.44 states/eV per cell. The value obtained for the magnetization is 0.00 μB per formula unit.



Least stable structure: #P



#P
BaTbSm: optimized geometry, PBE-GGA.

The structure belongs to space group P3m1 (No. 156); the cell edges are 3.7922, 3.7922 and 9.4414 Å and the angles 90.00°, 90.00° and 120.00°. The asymmetric unit holds Ba at (0.0000, 0.0000, 0.0000), Tb at (0.6667, 0.3333, 0.3515) and Sm at (0.3333, 0.6667, 0.6422).

Its density of states at the Fermi level is 5.26 states/eV per cell. The value obtained for the magnetization is 0.00 μB per formula unit.



#Q
BaTbSm: optimized geometry, PBE-GGA.

The structure belongs to space group I4mm (No. 107); the cell edges are 3.797, 3.797 and 16.611 Å and the angles 90.00°, 90.00° and 90.00°. The asymmetric unit holds Ba at (0.000, 0.000, 0.000), Tb at (0.000, 0.000, 0.319) and Sm at (0.000, 0.000, 0.682).

Its density of states at the Fermi level is 10.41 states/eV per cell. The value obtained for the magnetization is 0.00 μB per formula unit.



Least stable structure: #P